The following is a DFT calculation (GGA-PBE) of a relaxed structure of TlCrCuS3.

Lattice parameters (Å, degrees): 7.427 7.427 9.367 90.00 90.00 152.32
Atoms (fractional coordinates):
Tl 0.249 0.751 0.750
Tl 0.751 0.249 0.250
Cr 0.000 0.000 0.000
Cr 0.000 0.000 0.500
Cu 0.465 0.535 0.250
Cu 0.535 0.465 0.750
S 0.063 0.937 0.250
S 0.389 0.611 0.041
S 0.389 0.611 0.459
S 0.611 0.389 0.541
S 0.611 0.389 0.959
S 0.937 0.063 0.750

Raw total energy in Ry/atom: -0.380
Total magnetic moment in μB per cell: 4.23
E_form (uncorrected) in eV/atom: -0.423
SG: Cmcm
Theoretical density in g/cm3: 5.758